(1)
Compound: K2LiSnAs
Source: Alexandria
Functional: PBE-GGA
Structure: relaxed

Cell lengths 5.472, 5.156, 5.472 Å; angles 90.00, 90.00, 90.00 degrees
Fractional positions:
Li1 0.000 0.000 0.000
As1 0.500 0.500 0.500
Sn1 0.000 0.500 0.000
K1 0.000 0.000 0.500
K2 0.500 0.000 0.000

Output
symmetry: P4/mmm
crystal system: tetragonal
total magnetic moment: 0.00 μB/cell
total energy: -2.3684 eV/atom
formation enthalpy at 0 K: 0.1838 eV/atom

=====

(2)
Compound: KSr2Li2As2
Source: Alexandria
Functional: PBE-GGA
Structure: relaxed

Cell lengths 4.540, 4.540, 12.610 Å; angles 79.63, 79.63, 60.00 degrees
Fractional positions:
K1 0.000 0.000 0.000
As1 0.735 0.735 0.795
As2 0.265 0.265 0.205
Li1 0.608 0.608 0.175
Li2 0.392 0.392 0.825
Sr1 0.886 0.886 0.341
Sr2 0.114 0.114 0.659

Output
symmetry: R-3m
crystal system: trigonal
total magnetic moment: 0.82 μB/cell
total energy: -3.2289 eV/atom
formation enthalpy at 0 K: -0.7163 eV/atom

=====

(3)
Compound: KLiTe2As
Source: Alexandria
Functional: PBE-GGA
Structure: relaxed

Cell lengths 8.475, 6.273, 6.604 Å; angles 118.35, 90.00, 90.00 degrees
Fractional positions:
Te1 0.288 0.378 0.756
Te2 0.712 0.878 0.756
Te3 0.712 0.622 0.244
Te4 0.288 0.122 0.244
Li1 0.500 0.250 0.000
Li2 0.500 0.750 0.000
K1 0.207 0.750 0.500
K2 0.793 0.250 0.500
As1 0.000 0.500 0.000
As2 0.000 0.000 0.000

Output
symmetry: Cmme
crystal system: orthorhombic
formation energy from raw total energies: -41.5 kJ/mol of atoms
total magnetic moment: 0.00 μB/cell
total energy: -3.2193 eV/atom

=====

(4)
Compound: KLiTe3As
Source: Alexandria
Functional: PBE-GGA
Structure: relaxed

Cell lengths 4.472, 9.489, 10.486 Å; angles 120.53, 90.00, 90.00 degrees
Fractional positions:
Te1 0.250 0.524 0.852
Te2 0.750 0.897 0.161
Te3 0.250 0.103 0.839
Te4 0.750 0.209 0.498
Te5 0.250 0.791 0.502
Te6 0.750 0.476 0.148
K1 0.750 0.749 0.747
K2 0.250 0.251 0.253
Li1 0.250 0.121 0.581
Li2 0.750 0.879 0.419
As1 0.750 0.319 0.838
As2 0.250 0.681 0.162

Output
symmetry: P2_1/m
crystal system: monoclinic
formation energy from raw total energies: -45.0 kJ/mol of atoms
total magnetic moment: 0.00 μB/cell
total energy: -3.3142 eV/atom

=====

(5)
Compound: K2LiAsW
Source: Alexandria
Functional: PBE-GGA
Structure: relaxed

Cell lengths 6.396, 4.855, 6.396 Å; angles 90.00, 90.00, 90.00 degrees
Site moments in Bohr magnetons follow the coordinates.
Fractional positions:
K1 0.000 0.000 0.500  0.00
K2 0.500 0.000 0.000  0.00
Li1 0.500 0.500 0.500  -0.04
W1 0.000 0.500 0.000  2.17
As1 0.000 0.000 0.000  -0.12

Output
symmetry: P4/mmm
crystal system: tetragonal
total magnetic moment: 2.53 μB/cell
total energy: -3.6466 eV/atom
formation enthalpy at 0 K: 0.6957 eV/atom

=====

(6)
Compound: KLi2ZnAs
Source: Alexandria
Functional: PBE-GGA
Structure: relaxed

Cell lengths 5.109, 4.920, 5.109 Å; angles 90.00, 90.00, 90.00 degrees
Fractional positions:
K1 0.500 0.500 0.500
Li1 0.000 0.000 0.500
Li2 0.500 0.000 0.000
Zn1 0.000 0.000 0.000
As1 0.000 0.500 0.000

Output
symmetry: P4/mmm
crystal system: tetragonal
total magnetic moment: 0.00 μB/cell
total energy: -2.2448 eV/atom
formation enthalpy at 0 K: -0.0751 eV/atom
offset from the most stable computed form: 0 meV/atom

=====

(7)
Compound: KLi2ZnAs
Source: Alexandria
Functional: PBE-GGA
Structure: relaxed

Cell lengths 5.211, 5.249, 5.211 Å; angles 90.00, 90.00, 90.00 degrees
Fractional positions:
Li1 0.000 0.000 0.500
Li2 0.500 0.000 0.000
Zn1 0.000 0.500 0.000
As1 0.500 0.500 0.500
K1 0.000 0.000 0.000

Output
symmetry: P4/mmm
crystal system: tetragonal
total magnetic moment: 0.00 μB/cell
total energy: -1.2932 eV/atom
formation enthalpy at 0 K: 0.8766 eV/atom
offset from the most stable computed form: 952 meV/atom

=====

(8)
Compound: K2MgAs2
Source: Alexandria
Functional: PBE-GGA
Structure: relaxed

Cell lengths 7.136, 7.136, 5.483 Å; angles 90.00, 90.00, 90.00 degrees
Fractional positions:
As1 0.627 0.127 0.000
As2 0.373 0.873 0.000
As3 0.127 0.373 0.000
As4 0.873 0.627 0.000
Mg1 0.500 0.500 0.000
Mg2 0.000 0.000 0.000
K1 0.832 0.332 0.500
K2 0.668 0.832 0.500
K3 0.168 0.668 0.500
K4 0.332 0.168 0.500

Output
symmetry: P4/mbm
crystal system: tetragonal
total magnetic moment: 0.00 μB/cell
total energy: -3.0077 eV/atom
formation enthalpy at 0 K: -0.3900 eV/atom
offset from the most stable computed form: 0 meV/atom

=====

(9)
Compound: K2MgAs
Source: Alexandria
Functional: PBE-GGA
Structure: relaxed

Cell lengths 5.680, 5.680, 5.680 Å; angles 60.00, 60.00, 60.00 degrees
Fractional positions:
K1 0.250 0.250 0.250
K2 0.750 0.750 0.750
As1 0.500 0.500 0.500
Mg1 0.000 0.000 0.000

Output
symmetry: Fm-3m
crystal system: cubic
total magnetic moment: 0.00 μB/cell
total energy: -2.0881 eV/atom
formation enthalpy at 0 K: 0.0217 eV/atom
offset from the most stable computed form: 414 meV/atom

=====

(10)
Compound: KMg4As
Source: Alexandria
Functional: PBE-GGA
Structure: relaxed

Cell lengths 6.083, 6.083, 6.083 Å; angles 60.00, 60.00, 60.00 degrees
Fractional positions:
As1 0.750 0.750 0.750
Mg1 0.870 0.377 0.377
Mg2 0.377 0.377 0.870
Mg3 0.377 0.870 0.377
Mg4 0.377 0.377 0.377
K1 0.000 0.000 0.000

Output
symmetry: F-43m
crystal system: cubic
total magnetic moment: 0.00 μB/cell
total energy: -1.8477 eV/atom
formation enthalpy at 0 K: 0.1732 eV/atom

=====

(11)
Compound: K2MgAs
Source: Alexandria
Functional: PBE-GGA
Structure: relaxed

Cell lengths 6.098, 6.098, 6.098 Å; angles 131.51, 131.51, 71.00 degrees
Fractional positions:
Mg1 0.750 0.250 0.500
As1 0.250 0.750 0.500
K1 0.500 0.500 0.000
K2 0.000 0.000 0.000

Output
symmetry: I4/mmm
crystal system: tetragonal
total magnetic moment: 0.00 μB/cell
total energy: -2.1203 eV/atom
formation enthalpy at 0 K: -0.0106 eV/atom
offset from the most stable computed form: 382 meV/atom

=====

(12)
Compound: K2MgAs
Source: Alexandria
Functional: PBE-GGA
Structure: relaxed

Cell lengths 6.708, 6.708, 6.708 Å; angles 142.09, 128.00, 66.13 degrees
Fractional positions:
Mg1 0.421 0.421 0.000
As1 0.298 0.798 0.500
K1 0.048 0.048 0.000
K2 0.733 0.233 0.500

Output
symmetry: Imm2
crystal system: orthorhombic
total magnetic moment: 0.59 μB/cell
total energy: -2.3577 eV/atom
formation enthalpy at 0 K: -0.2479 eV/atom
offset from the most stable computed form: 145 meV/atom